(1)
# TcNiH3

A geometry-optimized TcNiH3 structure (PBE, Alexandria).

Cell and atoms, written as extended XYZ:
```
5
Lattice="-1.6072 -1.1576 2.5430 -2.2774 -1.1568 -1.9659 1.6186 -2.7770 -0.2411" Properties=species:S:1:pos:R:3 pbc="T T T"
Ni 0.0000 0.0000 0.0000
Tc -1.1330 -2.5457 0.1680
H -1.1387 -0.5784 -0.9830
H 0.8093 -1.3885 -0.1206
H -0.8036 -0.5788 1.2715
```

Its excess energy over the best structure of this formula in the dataset is 0 meV/atom.


(2)
# Pr3NdSm6

A geometry-optimized Pr3NdSm6 structure (PBE, Alexandria).

Cell and atoms, written as extended XYZ:
```
10
Lattice="-4.0104 9.2485 -0.4447 -8.8873 1.4315 -4.5588 -6.1756 2.9124 1.7868" Properties=species:S:1:pos:R:3 pbc="T T T"
Pr -10.3836 6.5039 -0.0491
Pr -8.9736 6.9905 -2.6450
Pr -5.6169 3.1053 0.7582
Nd -13.7447 10.3877 -3.4442
Sm -10.2810 10.0001 -2.7953
Sm -10.5560 4.4437 -3.9862
Sm -6.0786 6.5296 -1.1633
Sm -8.5044 3.5691 -0.7362
Sm -8.3136 9.3469 0.4504
Sm -12.9145 7.0852 -2.4725
```

Its excess energy over the best structure of this formula in the dataset is 116 meV/atom. The calculation puts the formation energy at 0.254 eV per atom.


(3)
# TlSbPbCl6

A geometry-optimized TlSbPbCl6 structure (PBE, Alexandria).

Cell and atoms, written as extended XYZ:
```
18
Lattice="7.3183 0.0000 0.0000 -3.6592 6.3378 0.0000 0.0000 0.0000 13.7033" Properties=species:S:1:pos:R:3 pbc="T T T"
Tl 0.0000 0.0000 0.0000
Tl 0.0000 0.0000 6.8517
Sb 3.6592 2.1126 3.4258
Sb 0.0000 4.2252 10.2775
Pb 0.0000 4.2252 3.4258
Pb 3.6592 2.1126 10.2775
Cl 2.4610 3.9449 1.8655
Cl 5.8451 2.2341 1.8655
Cl -0.9877 6.1791 8.7171
Cl -2.1859 4.1037 11.8379
Cl 1.4732 2.2341 4.9862
Cl 4.8573 3.9449 4.9862
Cl 0.9877 6.1791 11.8379
Cl 4.6469 0.1588 4.9862
Cl -1.1982 2.3929 8.7171
Cl 2.6714 0.1588 1.8655
Cl 2.1859 4.1037 8.7171
Cl 1.1982 2.3929 11.8379
```

As for the energy relative to the elements, uncorrected: -1008 meV/atom.


(4)
# LiRe2Br

A geometry-optimized LiRe2Br structure (PBE, Alexandria).

Cell and atoms, written as extended XYZ:
```
4
Lattice="-2.0397 -1.3659 -1.4661 -1.4168 -2.0498 3.8809 -3.2331 3.8897 0.8741" Properties=species:S:1:pos:R:3 pbc="T T T"
Br -2.5365 -0.7354 1.4260
Li -4.1531 1.2094 1.8630
Re -3.1414 3.7794 0.8493
Re -1.7082 2.0551 0.4618
```

As for the energy relative to the elements, uncorrected: 1068 meV/atom. Its excess energy over the best structure of this formula in the dataset is 911 meV/atom.


(5)
# CePuTlO6

A geometry-optimized CePuTlO6 structure (PBE, Alexandria).

Cell and atoms, written as extended XYZ:
```
18
Lattice="7.2902 0.0000 0.0000 0.0000 8.0947 0.0000 -3.6451 -4.0474 5.1480" Properties=species:S:1:pos:R:3 pbc="T T T"
Ce 1.8226 -2.0237 2.5740
Ce -1.8226 -2.0237 2.5740
Pu 3.6451 4.0474 0.0000
Pu 3.6451 0.0000 0.0000
Tl 3.6451 2.0237 3.6758
Tl 0.0000 2.0237 1.4722
O 3.6451 6.0710 0.9180
O 3.6451 -2.0237 3.6840
O 5.0185 0.2024 1.3217
O 2.2718 3.8449 1.3217
O 2.2718 0.2024 1.3217
O 5.0185 3.8449 1.3217
O 0.0000 -2.0237 4.2299
O 0.0000 6.0710 1.4640
O -1.3734 3.8449 3.8263
O 1.3734 0.2024 3.8263
O 1.3734 3.8449 3.8263
O -1.3734 0.2024 3.8263
```

As for the energy relative to the elements, uncorrected: -2385 meV/atom.


(6)
# NaBeAu3

A geometry-optimized NaBeAu3 structure (PBE, Alexandria).

Cell and atoms, written as extended XYZ:
```
20
Lattice="6.0407 0.0000 0.0000 0.0000 5.8745 1.7130 0.0000 -0.0230 10.1510" Properties=species:S:1:pos:R:3 pbc="T T T"
Na 1.5103 0.1305 7.1288
Na 1.5103 2.7722 8.9542
Na 4.5304 3.0793 2.9098
Na 4.5304 5.7209 4.7352
Be 4.5305 0.6270 9.1381
Be 1.5102 3.5758 4.9191
Be 4.5305 2.2757 6.9449
Be 1.5102 5.2245 2.7259
Au 6.0405 4.1329 6.7255
Au 0.0001 1.2072 0.7936
Au 1.5101 2.8590 2.6808
Au 3.0205 4.6443 11.0704
Au 4.5306 5.7848 8.6128
Au 0.0001 1.7186 5.1384
Au 3.0205 4.1329 6.7255
Au 1.5101 0.0667 3.2512
Au 3.0202 1.2072 0.7935
Au 4.5306 2.9924 9.1832
Au 6.0405 4.6443 11.0704
Au 3.0202 1.7186 5.1385
```

Its excess energy over the best structure of this formula in the dataset is 0 meV/atom. The calculation puts the formation energy at -0.237 eV per atom.


(7)
# TeMoPb2

A geometry-optimized TeMoPb2 structure (PBE, Alexandria).

Cell and atoms, written as extended XYZ:
```
4
Lattice="3.0599 0.0000 0.0000 0.0000 3.0599 0.0000 0.0000 0.0000 11.8172" Properties=species:S:1:pos:R:3 pbc="T T T"
Mo 1.5299 1.5299 8.8629
Pb 0.0000 0.0000 11.1473
Pb 0.0000 0.0000 6.5785
Te 1.5299 1.5299 2.9543
```

As for the energy relative to the elements, uncorrected: 477 meV/atom.


(8)
# YTe2Pb

A geometry-optimized YTe2Pb structure (PBE, Alexandria).

Cell and atoms, written as extended XYZ:
```
4
Lattice="-8.2974 4.3415 -1.8697 -8.7098 3.1961 2.2618 -6.5908 6.8004 1.2275" Properties=species:S:1:pos:R:3 pbc="T T T"
Pb -17.6306 10.7123 1.2101
Te -0.3968 0.2411 0.0272
Te -5.4299 3.2992 0.3727
Y -11.9397 7.2545 0.8195
```

As for the energy relative to the elements, uncorrected: -451 meV/atom.


Number 1: DFT total energy -0.3658 Ry per atom. Number 2: DFT total energy -0.3299 Ry per atom. Number 3: DFT total energy -0.2478 Ry per atom. Number 4: DFT total energy -0.4448 Ry per atom. Number 5: DFT total energy -0.6030 Ry per atom. Number 6: DFT total energy -0.2361 Ry per atom. Number 7: DFT total energy -0.3580 Ry per atom. Number 8: DFT total energy -0.3355 Ry per atom.